First-principles (PBE-GGA) data for an optimized crystal structure of SrAcGaHg, as listed in Alexandria.

```
SrAcGaHg
1.0
0.000 3.979 3.979
3.979 0.000 3.979
3.979 3.979 0.000
Sr Ac Ga Hg
1 1 1 1
direct
0.000 0.000 0.000
0.500 0.500 0.500
0.750 0.750 0.750
0.250 0.250 0.250
```

Computed properties:
V, Å³/cell: 126.0
Excess energy over the best structure of this formula in the dataset, eV/atom: 0.000
Formation enthalpy at 0 K, meV/atom: -471